PmCrS2O8 PBE with a Hubbard U optimized geometry; calculated volume = 175 Å³/cell; calculated total energy = -6.763 eV per atom; space group = P-3m1, No. 164; crystal system = trigonal
1.0
-4.182 2.906 1.074
2.065 -3.049 3.678
4.437 5.593 2.145
S O Cr Pm
2 8 1 1
Direct
0.667 0.333 0.309
0.333 0.667 0.691
0.177 0.823 0.754
0.667 0.333 0.510
0.353 0.177 0.246
0.333 0.667 0.490
0.823 0.647 0.246
0.647 0.823 0.754
0.823 0.177 0.246
0.177 0.353 0.754
0.000 0.000 0.000
0.000 0.000 0.500